Entry 1:
Compound: SrIn5
Source: the Alexandria database
Functional: GGA-PBE
Structure: relaxed Values from VASP.

```
&SYSTEM
  ibrav = 0, nat = 6, ntyp = 2
/
ATOMIC_SPECIES
In 114.82 In.upf
Sr 87.62 Sr.upf
CELL_PARAMETERS angstrom
-1.114 -5.570 -2.720
-0.597 -5.172 3.544
-5.631 -2.746 0.639
ATOMIC_POSITIONS crystal
In 0.625 0.126 0.625
In 0.625 0.625 0.126
In 0.250 0.250 0.250
In 0.126 0.625 0.625
In 0.625 0.625 0.625
Sr 0.000 0.000 0.000
```

Results
Spin magnetization: 0.00 μB per atom
Electronic total energy: -2.7275 eV per atom
Polymorph energy (0 for the lowest one): 52.9 meV/atom
DOS(E_F): 0.59 states/eV/atom
ΔH_f (0 K): -165 meV/atom

***

Entry 2:
Compound: NaPO4
Source: the Alexandria database
Functional: GGA-PBE
Structure: relaxed Values from VASP.

```
&SYSTEM
  ibrav = 0, nat = 72, ntyp = 3
/
ATOMIC_SPECIES
P 30.97 P.upf
Na 22.99 Na.upf
O 16.00 O.upf
CELL_PARAMETERS angstrom
-6.304 7.400 5.270
-4.839 -8.723 -4.772
1.045 -5.451 8.903
ATOMIC_POSITIONS crystal
P 0.772 0.617 0.516
P 0.117 0.272 0.984
P 0.383 0.228 0.484
P 0.320 0.680 0.500
P 0.180 0.820 0.000
P 0.680 0.320 0.500
P 0.820 0.180 0.000
P 0.617 0.772 0.516
P 0.272 0.117 0.984
P 0.228 0.383 0.484
P 0.728 0.883 0.016
P 0.883 0.728 0.016
Na 0.424 0.761 0.809
Na 0.576 0.239 0.191
Na 0.163 0.163 0.691
Na 0.261 0.924 0.691
Na 0.739 0.076 0.309
Na 0.663 0.663 0.809
Na 0.837 0.837 0.309
Na 0.924 0.261 0.691
Na 0.239 0.576 0.191
Na 0.761 0.424 0.809
Na 0.337 0.337 0.191
Na 0.076 0.739 0.309
O 0.277 0.094 0.541
O 0.664 0.226 0.391
O 0.472 0.724 0.439
O 0.836 0.274 0.891
O 0.651 0.651 0.463
O 0.091 0.255 0.843
O 0.061 0.660 0.694
O 0.164 0.726 0.109
O 0.053 0.553 0.750
O 0.224 0.972 0.061
O 0.447 0.947 0.250
O 0.849 0.849 0.963
O 0.660 0.061 0.694
O 0.553 0.053 0.750
O 0.336 0.774 0.609
O 0.840 0.439 0.194
O 0.245 0.409 0.343
O 0.528 0.276 0.561
O 0.255 0.091 0.843
O 0.909 0.745 0.157
O 0.972 0.224 0.061
O 0.776 0.028 0.939
O 0.755 0.591 0.657
O 0.406 0.223 0.041
O 0.349 0.349 0.537
O 0.774 0.336 0.609
O 0.409 0.245 0.343
O 0.226 0.664 0.391
O 0.939 0.340 0.306
O 0.439 0.840 0.194
O 0.274 0.836 0.891
O 0.276 0.528 0.561
O 0.094 0.277 0.541
O 0.726 0.164 0.109
O 0.591 0.755 0.657
O 0.028 0.776 0.939
O 0.160 0.561 0.806
O 0.906 0.723 0.459
O 0.777 0.594 0.959
O 0.723 0.906 0.459
O 0.745 0.909 0.157
O 0.151 0.151 0.037
O 0.340 0.939 0.306
O 0.947 0.447 0.250
O 0.594 0.777 0.959
O 0.724 0.472 0.439
O 0.561 0.160 0.806
O 0.223 0.406 0.041
```

Results
Spin magnetization: 0.00 μB per atom
Electronic total energy: -6.1508 eV per atom
Raw formation energy: -166.3 kJ/mol of atoms
Polymorph energy (0 for the lowest one): 94.5 meV/atom

***

Entry 3:
Compound: ReMo2Ru2
Source: the Alexandria database
Functional: GGA-PBE
Structure: relaxed Values from VASP.

```
&SYSTEM
  ibrav = 0, nat = 10, ntyp = 3
/
ATOMIC_SPECIES
Mo 95.94 Mo.upf
Ru 101.07 Ru.upf
Re 186.21 Re.upf
CELL_PARAMETERS angstrom
-0.329 -7.309 0.890
0.359 -0.906 -7.306
2.822 -0.109 0.152
ATOMIC_POSITIONS crystal
Mo 0.170 0.670 0.500
Mo 0.830 0.330 0.500
Mo 0.670 0.830 0.500
Mo 0.330 0.170 0.500
Ru 0.129 0.371 0.000
Ru 0.871 0.629 0.000
Ru 0.629 0.129 0.000
Ru 0.371 0.871 0.000
Re 0.500 0.500 0.000
Re 0.000 0.000 0.000
```

Results
Spin magnetization: 0.00 μB per atom
Electronic total energy: -10.2515 eV per atom
DOS(E_F): 1.06 states/eV/atom
ΔH_f (0 K): 281 meV/atom

***

Entry 4:
Compound: U2GaRh
Source: the Alexandria database
Functional: GGA-PBE
Structure: relaxed Values from VASP.

```
&SYSTEM
  ibrav = 0, nat = 4, ntyp = 3
/
ATOMIC_SPECIES
U 238.03 U.upf
Rh 102.91 Rh.upf
Ga 69.72 Ga.upf
CELL_PARAMETERS angstrom
2.947 0.000 0.000
1.473 2.552 0.000
1.473 0.851 10.329
ATOMIC_POSITIONS crystal
U 0.917 0.917 0.250
U 0.083 0.083 0.750
Rh 0.000 0.000 0.000
Ga 0.500 0.500 0.500
```

Results
Spin magnetization: 0.85 μB per atom
Electronic total energy: -8.1842 eV per atom
DOS(E_F): 2.28 states/eV/atom
ΔH_f (0 K): 54 meV/atom